## w
The following is a DFT calculation (PBE) of a relaxed structure of La2GeCl.

Cell lengths 5.2616, 5.2616, 5.2616 Å; angles 60.00, 60.00, 60.00 degrees
With the nearest neighbours (Å) after each atom.
Fractional positions:
La (0.2500, 0.2500, 0.2500)  4 Ge 3.22, 4 Cl 3.22
La (0.7500, 0.7500, 0.7500)  4 Ge 3.22, 4 Cl 3.22
Ge (0.5000, 0.5000, 0.5000)  8 La 3.22
Cl (0.0000, 0.0000, 0.0000)  8 La 3.22

Values from the calculation:
SG = Fm-3m (225)
Total magnetization = 0.000 μB per atom

## x
The following is a DFT calculation (PBE) of a relaxed structure of La2GeCl.

Cell lengths 3.6087, 3.6087, 7.9268 Å; angles 90.00, 90.00, 90.00 degrees
With the nearest neighbours (Å) after each atom.
Fractional positions:
Ge (0.5000, 0.5000, 0.5000)  8 La 3.15
La (0.0000, 0.0000, 0.7336)  4 Ge 3.15, 4 Cl 3.31
La (0.0000, 0.0000, 0.2664)  4 Ge 3.15, 4 Cl 3.31
Cl (0.5000, 0.5000, 0.0000)  8 La 3.31, 4 Cl 3.61

Values from the calculation:
SG = P4/mmm (123)
Total magnetization = 0.086 μB per atom

Short version: w, x, most stable first.

## w
The following is a DFT calculation (PBE) of a relaxed structure of La2GeCl.

Cell lengths 4.4067, 4.4067, 7.3164 Å; angles 72.47, 72.47, 60.00 degrees
With the nearest neighbours (Å) after each atom.
Fractional positions:
La (0.7544, 0.7544, 0.7369)  3 Ge 3.02, 3 Cl 3.12
La (0.2456, 0.2456, 0.2631)  3 Ge 3.02, 3 Cl 3.12
Ge (0.5000, 0.5000, 0.5000)  6 La 3.02
Cl (0.0000, 0.0000, 0.0000)  6 La 3.12

Values from the calculation:
SG = R-3m (166)
Total magnetization = 0.000 μB per atom

## x
The following is a DFT calculation (PBE) of a relaxed structure of La2GeCl.

Cell lengths 6.0714, 4.4171, 8.5811 Å; angles 90.00, 90.08, 90.01 degrees
With the nearest neighbours (Å) after each atom.
Fractional positions:
Ge (0.2013, 0.7334, 0.7464)  6 La 2.95-3.08
La (0.2016, 0.2334, 0.9748)  2 Ge 2.95, 4 Cl 3.04-3.14
Cl (0.7018, 0.2333, 0.9806)  6 La 3.04-3.14
La (0.7002, 0.7333, 0.2412)  2 Ge 2.95, 4 Cl 3.04-3.14
La (0.2008, 0.2333, 0.4962)  4 Ge 3.04-3.08, 2 Cl 3.14
La (0.7012, 0.7333, 0.7198)  4 Ge 3.04-3.08, 2 Cl 3.14
Cl (0.2002, 0.7333, 0.2355)  6 La 3.04-3.14
Ge (0.7008, 0.2334, 0.4695)  6 La 2.95-3.08

Values from the calculation:
SG = P2_1/m (11)
Total magnetization = 0.000 μB per atom

## y
The following is a DFT calculation (PBE) of a relaxed structure of La2GeCl.

Cell lengths 4.2827, 4.2827, 7.9766 Å; angles 74.43, 74.43, 60.00 degrees
With the nearest neighbours (Å) after each atom.
Fractional positions:
Cl (0.4971, 0.4971, 0.5086)  6 La 3.21-3.32
Ge (0.6680, 0.6680, 0.9960)  6 La 2.97-2.98
La (0.2612, 0.2612, 0.2164)  3 Ge 2.98, 3 Cl 3.32
La (0.0737, 0.0737, 0.7790)  3 Ge 2.97, 3 Cl 3.21

Values from the calculation:
SG = R3m (160)
Total magnetization = 0.000 μB per atom

## z
The following is a DFT calculation (PBE) of a relaxed structure of La2GeCl.

Cell lengths 6.0782, 6.0782, 7.5228 Å; angles 66.17, 66.17, 90.00 degrees
With the nearest neighbours (Å) after each atom.
Fractional positions:
Ge (0.6249, 0.8751, 0.7500)  6 La 3.02-3.04
Cl (0.8748, 0.6252, 0.2500)  6 La 3.04-3.16
Ge (0.3751, 0.1249, 0.2500)  6 La 3.02-3.04
La (0.6193, 0.3693, 0.7616)  3 Ge 3.02-3.04, 3 Cl 3.04-3.16
La (0.3807, 0.6307, 0.2384)  3 Ge 3.02-3.04, 3 Cl 3.04-3.16
La (0.8693, 0.1193, 0.2616)  3 Ge 3.02-3.04, 3 Cl 3.04-3.16
Cl (0.1252, 0.3748, 0.7500)  6 La 3.04-3.16
La (0.1307, 0.8807, 0.7384)  3 Ge 3.02-3.04, 3 Cl 3.04-3.16

Values from the calculation:
SG = I4_1/amd (141)
Total magnetization = 0.000 μB per atom

Short version: z, w, x, y, most stable first.

## w
The following is a DFT calculation (PBE) of a relaxed structure of La4Ge2Cl.

Cell lengths 5.2588, 5.2588, 8.8527 Å; angles 72.72, 72.72, 90.00 degrees
With the nearest neighbours (Å) after each atom.
Fractional positions:
La (0.8176, 0.8176, 0.3648)  1 Cl 2.93, 1 Ge 3.03
La (0.1824, 0.1824, 0.6352)  1 Cl 2.93, 1 Ge 3.03
La (0.5000, 0.0000, 0.0000)  2 Cl 2.63
Cl (0.0000, 0.0000, 0.0000)  6 La 2.63-2.93
La (0.0000, 0.5000, 0.0000)  2 Cl 2.63
Ge (0.6293, 0.6293, 0.7414)  5 La 3.03-3.35
Ge (0.3707, 0.3707, 0.2586)  5 La 3.03-3.35

Values from the calculation:
SG = I4/mmm (139)
Total magnetization = 0.000 μB per atom

## x
The following is a DFT calculation (PBE) of a relaxed structure of La4Ge2Cl.

Cell lengths 8.0353, 8.0353, 8.0353 Å; angles 111.11, 106.24, 111.11 degrees
With the nearest neighbours (Å) after each atom.
Fractional positions:
La (0.7594, 0.2685, 0.8707)  1 Cl 2.98, 4 Ge 3.03-3.33, 1 La 3.30
Ge (0.2505, 0.6255, 0.1250)  8 La 3.03-3.33
Ge (0.8750, 0.1255, 0.5005)  8 La 3.03-3.33
La (0.5091, 0.1112, 0.2406)  1 Cl 2.98, 4 Ge 3.03-3.33, 1 La 3.30
La (0.1479, 0.3888, 0.3793)  1 Cl 2.98, 4 Ge 3.03-3.33, 1 La 3.30
Ge (0.4995, 0.3745, 0.6250)  8 La 3.03-3.33
La (0.2409, 0.2315, 0.8521)  1 Cl 2.98, 4 Ge 3.03-3.33, 1 La 3.30
Cl (0.0000, 0.0000, 0.0000)  4 La 2.98
Cl (0.7500, 0.5000, 0.2500)  4 La 2.98
Ge (0.3750, 0.8745, 0.7495)  8 La 3.03-3.33
La (0.6021, 0.7315, 0.4909)  1 Cl 2.98, 4 Ge 3.03-3.33, 1 La 3.30
La (0.9906, 0.6112, 0.7591)  1 Cl 2.98, 4 Ge 3.03-3.33, 1 La 3.30
La (0.6207, 0.7685, 0.0094)  1 Cl 2.98, 4 Ge 3.03-3.33, 1 La 3.30
La (0.1293, 0.8888, 0.3979)  1 Cl 2.98, 4 Ge 3.03-3.33, 1 La 3.30

Values from the calculation:
SG = I-42d (122)
Total magnetization = 0.000 μB per atom

Short version: x, w, most stable first.

## w
The following is a DFT calculation (PBE) of a relaxed structure of LaGeP2Cl.

Cell lengths 4.7842, 4.7842, 4.9572 Å; angles 90.00, 90.00, 90.00 degrees
With the nearest neighbours (Å) after each atom.
Fractional positions:
Cl (0.0000, 0.0000, 0.5000)  2 Ge 2.48
P (0.5000, 0.0000, 0.0000)  2 Ge 2.39
La (0.5000, 0.5000, 0.5000)  4 Cl 3.38, 8 P 3.44
Ge (0.0000, 0.0000, 0.0000)  4 P 2.39, 2 Cl 2.48
P (0.0000, 0.5000, 0.0000)  2 Ge 2.39

Values from the calculation:
SG = P4/mmm (123)
Total magnetization = 0.000 μB per atom

## x
The following is a DFT calculation (PBE) of a relaxed structure of LaGeP2Cl.

Cell lengths 5.5551, 5.5551, 5.3323 Å; angles 90.00, 90.00, 90.00 degrees
With the nearest neighbours (Å) after each atom.
Fractional positions:
P (0.0000, 0.5000, 0.0000)  2 La 2.78
La (0.0000, 0.0000, 0.0000)  2 Cl 2.67, 4 P 2.78
Ge (0.5000, 0.5000, 0.5000)  8 P 3.85, 4 Cl 3.93
P (0.5000, 0.0000, 0.0000)  2 La 2.78
Cl (0.0000, 0.0000, 0.5000)  2 La 2.67

Values from the calculation:
SG = P4/mmm (123)
Total magnetization = 0.001 μB per atom

Short version: w, x, most stable first.

## w
The following is a DFT calculation (PBE) of a relaxed structure of LaPrGeCl.

Cell lengths 5.0564, 5.1119, 5.9715 Å; angles 90.00, 90.00, 119.64 degrees
With the nearest neighbours (Å) after each atom.
Fractional positions:
Cl (0.8375, 0.6750, 0.5000)  3 La 2.94, 2 Pr 2.99
Pr (0.8378, 0.6756, 0.0000)  3 Ge 2.94, 2 Cl 2.99
La (0.1683, 0.3366, 0.5000)  3 Cl 2.94, 2 Ge 2.99
Ge (0.1688, 0.3375, 0.0000)  3 Pr 2.94, 2 La 2.99

Values from the calculation:
SG = Amm2 (38)
Total magnetization = 0.000 μB per atom

## x
The following is a DFT calculation (PBE) of a relaxed structure of LaPrGeCl.

Cell lengths 5.2417, 5.2417, 5.2417 Å; angles 60.00, 60.00, 60.00 degrees
With the nearest neighbours (Å) after each atom.
Fractional positions:
Cl (0.7500, 0.7500, 0.7500)  4 Pr 3.21, 4 La 3.21
Pr (0.0000, 0.0000, 0.0000)  4 Ge 3.21, 4 Cl 3.21
La (0.5000, 0.5000, 0.5000)  4 Cl 3.21, 4 Ge 3.21
Ge (0.2500, 0.2500, 0.2500)  4 La 3.21, 4 Pr 3.21

Values from the calculation:
SG = F-43m (216)
Total magnetization = 0.000 μB per atom

Short version: x, w, most stable first.

## w
The following is a DFT calculation (PBE) of a relaxed structure of LaGeSCl2.

Cell lengths 5.4917, 5.4917, 5.6347 Å; angles 90.00, 90.00, 90.00 degrees
With the nearest neighbours (Å) after each atom.
Fractional positions:
Cl (0.5000, 0.0000, 0.0000)  2 La 2.75
S (0.0000, 0.0000, 0.5000)  2 La 2.82
Cl (0.0000, 0.5000, 0.0000)  2 La 2.75
La (0.0000, 0.0000, 0.0000)  4 Cl 2.75, 2 S 2.82
Ge (0.5000, 0.5000, 0.5000)  4 S 3.88, 8 Cl 3.93

Values from the calculation:
SG = P4/mmm (123)
Total magnetization = 0.200 μB per atom

## x
The following is a DFT calculation (PBE) of a relaxed structure of LaGeSCl2.

Cell lengths 4.9858, 4.9858, 5.1410 Å; angles 90.00, 90.00, 90.00 degrees
With the nearest neighbours (Å) after each atom.
Fractional positions:
Cl (0.0000, 0.5000, 0.0000)  2 Ge 2.49
Ge (0.0000, 0.0000, 0.0000)  4 Cl 2.49, 2 S 2.57
Cl (0.5000, 0.0000, 0.0000)  2 Ge 2.49
S (0.0000, 0.0000, 0.5000)  2 Ge 2.57
La (0.5000, 0.5000, 0.5000)  4 S 3.53, 8 Cl 3.58

Values from the calculation:
SG = P4/mmm (123)
Total magnetization = 0.100 μB per atom

Short version: w, x, most stable first.